MgHgGe | PBE | optimized geometry

a b c (Å): 4.529 4.529 6.631
angles (deg): 90.00 90.00 90.00
Sites, in units of the cell vectors:
Mg (0.250, 0.250, 0.187)
Mg (0.750, 0.750, 0.813)
Hg (0.250, 0.750, 0.500)
Hg (0.750, 0.250, 0.500)
Ge (0.250, 0.250, 0.779)
Ge (0.750, 0.750, 0.221)

Calculated values
- Symmetry: P4/nmm (129)
- Volume: 22.67 Å³/atom
- DFT formation energy: 148 meV/atom
- Energy: -2.0230 eV/atom